Entry 1:
# BaC (meta-GGA SCAN, PBEsol geometry)
data_BaC
_chemical_formula_sum 'Ba4 C4'
_cell_length_a 3.5520
_cell_length_b 3.5520
_cell_length_c 16.9628
_cell_angle_alpha 90.00
_cell_angle_beta 90.00
_cell_angle_gamma 120.00
_symmetry_space_group_name_H-M 'P 63/m m c'
_symmetry_Int_Tables_number 194
_symmetry_space_group_name_Hall '-P 6c 2c'
loop_
_atom_site_label
_atom_site_type_symbol
_atom_site_fract_x
_atom_site_fract_y
_atom_site_fract_z
Ba1 Ba 0.3333 0.6667 0.1363
C1 C 0.0000 0.0000 0.2500
C2 C 0.3333 0.6667 0.7500
# Energy of formation = 2.40 eV per formula unit


Entry 2:
# BaC2 (meta-GGA SCAN, PBEsol geometry)
data_BaC2
_chemical_formula_sum 'Ba4 C8'
_cell_length_a 2.794
_cell_length_b 11.104
_cell_length_c 5.735
_cell_angle_alpha 90.00
_cell_angle_beta 90.00
_cell_angle_gamma 90.00
_symmetry_space_group_name_H-M 'C m c m'
_symmetry_Int_Tables_number 63
_symmetry_space_group_name_Hall '-C 2c 2'
loop_
_atom_site_label
_atom_site_type_symbol
_atom_site_fract_x
_atom_site_fract_y
_atom_site_fract_z
Ba1 Ba 0.000 0.118 0.250
C1 C 0.000 0.155 0.750
C2 C 0.000 0.385 0.250
# Energy of formation = 2.13 eV per formula unit


Entry 3:
# BaCa2C2O6F2 (meta-GGA SCAN, PBEsol geometry)
data_BaCa2C2O6F2
_chemical_formula_sum 'Ba4 Ca8 C8 O24 F8'
_cell_length_a 12.467
_cell_length_b 5.789
_cell_length_c 9.433
_cell_angle_alpha 90.00
_cell_angle_beta 90.00
_cell_angle_gamma 90.00
_symmetry_space_group_name_H-M 'C m c m'
_symmetry_Int_Tables_number 63
_symmetry_space_group_name_Hall '-C 2c 2'
loop_
_atom_site_label
_atom_site_type_symbol
_atom_site_fract_x
_atom_site_fract_y
_atom_site_fract_z
Ba1 Ba 0.000 0.003 0.250
Ca1 Ca 0.146 0.500 0.000
C1 C 0.247 0.345 0.750
O1 O 0.143 0.367 0.750
O2 O 0.202 0.160 0.131
F1 F 0.000 0.263 0.006
# Energy = -12.360 eV/atom


Entry 4:
# BaNaCe2C4O12F (meta-GGA SCAN, PBEsol geometry)
data_BaNaCe2C4O12F
_chemical_formula_sum 'Ba2 Na2 Ce4 C8 O24 F2'
_cell_length_a 5.0753
_cell_length_b 5.0753
_cell_length_c 22.7475
_cell_angle_alpha 90.00
_cell_angle_beta 90.00
_cell_angle_gamma 120.00
_symmetry_space_group_name_H-M 'P 63/m m c'
_symmetry_Int_Tables_number 194
_symmetry_space_group_name_Hall '-P 6c 2c'
loop_
_atom_site_label
_atom_site_type_symbol
_atom_site_fract_x
_atom_site_fract_y
_atom_site_fract_z
Ba1 Ba 0.0000 0.0000 0.0000
Na1 Na 0.3333 0.6667 0.2500
Ce1 Ce 0.3333 0.6667 0.6466
C1 C 0.0000 0.0000 0.1767
C2 C 0.3333 0.6667 0.0666
O1 O 0.0393 0.5197 0.0652
O2 O 0.1468 0.2935 0.1755
F1 F 0.3333 0.6667 0.7500
# Energy = -14.478 eV/atom


Per-record calculated density, kg/m³: 5352; 6023; 3663; 4579
Per-record total magnetic moment, μB per cell: 0.000; 0.000; 0.000; 4.000